# 1
Material: CeGeO4
Method: DFT, PBE
State: relaxed

Geometry as POSCAR:
```
CeGeO4
1.0
4.785 0.000 0.000
0.000 7.059 0.000
-0.847 0.000 5.104
Ce Ge O
2 2 8
Direct
0.092 0.250 0.159 Ce
0.908 0.750 0.841 Ce
0.376 0.750 0.370 Ge
0.624 0.250 0.630 Ge
0.211 0.561 0.175 O
0.211 0.939 0.175 O
0.252 0.250 0.597 O
0.323 0.750 0.700 O
0.677 0.250 0.300 O
0.748 0.750 0.403 O
0.789 0.061 0.825 O
0.789 0.439 0.825 O
```

Results
The calculated total energy comes out at -0.551 Ry per atom. Its space group is P2_1/m.



# 2
Material: Ce3Ge2O
Method: DFT, PBE
State: relaxed

Geometry as POSCAR:
```
Ce3Ge2O
1.0
-1.960 2.893 6.081
1.960 -2.893 6.081
1.960 2.893 -6.081
Ce Ge O
3 2 1
Direct
0.000 0.000 0.000 Ce
0.360 0.360 0.000 Ce
0.640 0.640 0.000 Ce
0.177 0.677 0.500 Ge
0.823 0.323 0.500 Ge
0.500 0.000 0.500 O
```

Results
The calculated total energy comes out at -0.485 Ry per atom. Its space group is Immm.



# 3
Material: CeGeO4
Method: DFT, PBE
State: relaxed

Geometry as POSCAR:
```
CeGeO4
1.0
5.493 0.000 0.000
0.000 5.493 0.000
0.000 0.000 4.864
Ce Ge O
2 2 8
Direct
0.250 0.250 0.000 Ce
0.750 0.750 0.000 Ce
0.250 0.750 0.500 Ge
0.750 0.250 0.500 Ge
0.075 0.575 0.257 O
0.075 0.925 0.743 O
0.425 0.575 0.743 O
0.425 0.925 0.257 O
0.575 0.075 0.743 O
0.575 0.425 0.257 O
0.925 0.075 0.257 O
0.925 0.425 0.743 O
```

Results
The calculated total energy comes out at -0.555 Ry per atom. Its space group is P4/nbm.



# 4
Material: Ce4Ge6O19
Method: DFT, PBE
State: relaxed

Geometry as POSCAR:
```
Ce4Ge6O19
1.0
-4.370 4.370 4.370
4.370 -4.370 4.370
4.370 4.370 -4.370
Ce Ge O
4 6 19
Direct
0.000 0.000 0.324 Ce
0.000 0.324 0.000 Ce
0.324 0.000 0.000 Ce
0.676 0.676 0.676 Ce
0.163 0.500 0.663 Ge
0.337 0.837 0.500 Ge
0.500 0.337 0.837 Ge
0.500 0.663 0.163 Ge
0.663 0.163 0.500 Ge
0.837 0.500 0.337 Ge
0.000 0.000 0.000 O
0.000 0.349 0.349 O
0.000 0.651 0.651 O
0.038 0.677 0.290 O
0.252 0.639 0.962 O
0.290 0.038 0.677 O
0.323 0.361 0.613 O
0.349 0.000 0.349 O
0.349 0.349 0.000 O
0.361 0.613 0.323 O
0.387 0.748 0.710 O
0.613 0.323 0.361 O
0.639 0.962 0.252 O
0.651 0.000 0.651 O
0.651 0.651 0.000 O
0.677 0.290 0.038 O
0.710 0.387 0.748 O
0.748 0.710 0.387 O
0.962 0.252 0.639 O
```

Results
The calculated total energy comes out at -0.539 Ry per atom. Its space group is I23.



> Which formula does entry 4 have?

Ce4Ge6O19



> Number 2 is which compound?

Ce3Ge2O



> Number 1 is which compound?

CeGeO4